a.
BiPb2F8 | PBE-GGA | relaxed

Structure (POSCAR):
```
BiPb2F8
1.0
-1.325 -3.033 2.286
-3.198 -1.905 -4.380
7.313 -1.592 -1.412
Bi Pb F
1 2 8
Cartesian
-0.663 -1.516 1.143
2.595 -4.135 -0.443
0.195 -2.395 -3.064
3.559 -3.626 -2.748
-1.594 -4.338 -3.141
0.891 -4.579 -2.019
4.996 -4.812 0.050
1.900 -1.951 -1.487
4.385 -2.191 -0.366
-0.768 -2.904 -0.759
-2.206 -1.717 -3.556
```

Properties
- crystal system = monoclinic
- space group = No. 12

***

b.
BiPb2F8 | PBE-GGA | relaxed

Structure (POSCAR):
```
BiPb2F8
1.0
3.740 0.000 -1.138
-0.990 5.729 -3.254
0.106 0.155 7.061
Pb Bi F
2 1 8
Cartesian
0.007 3.889 0.024
2.848 1.995 2.645
1.870 0.000 -0.569
1.618 5.135 -1.398
0.784 3.374 2.576
0.356 0.726 1.170
-0.313 1.809 -1.027
2.499 5.157 1.499
2.072 2.510 0.093
1.238 0.749 4.067
3.168 4.075 3.696
```

Properties
- crystal system = orthorhombic
- space group = No. 71

***

Energies, relative to the best one, in eV/atom: a 0.000; b 0.078.

***

a.
BiPbF3 | PBE-GGA | relaxed

Structure (POSCAR):
```
BiPbF3
1.0
4.834 0.000 0.000
0.000 4.834 0.000
0.000 0.000 4.834
Pb Bi F
1 1 3
Cartesian
0.000 0.000 0.000
2.417 2.417 2.417
0.000 2.417 0.000
0.000 0.000 2.417
2.417 0.000 0.000
```

Properties
- crystal system = cubic
- space group = No. 221

***

b.
BiPbF3 | PBE-GGA | relaxed

Structure (POSCAR):
```
BiPbF3
1.0
-4.182 -1.689 -1.427
2.191 -3.583 -2.177
-0.304 -2.585 3.950
Pb Bi F
1 1 3
Cartesian
-1.148 -3.929 0.173
0.000 0.000 0.000
1.095 -1.792 -1.089
-0.152 -1.293 1.975
-2.091 -0.845 -0.714
```

Properties
- crystal system = cubic
- space group = No. 221

***

Energies, relative to the best one, in eV/atom: a 0.091; b 0.000.

***

a.
Bi2PbF8 | PBE-GGA | relaxed

Structure (POSCAR):
```
Bi2PbF8
1.0
8.857 0.006 0.000
6.765 5.716 0.000
-7.811 -2.861 3.041
Bi Pb F
2 1 8
Cartesian
5.037 1.845 0.000
10.584 3.877 0.000
0.000 0.000 0.000
5.930 3.791 1.520
4.428 0.003 1.520
0.835 1.925 1.520
3.382 2.858 1.520
1.881 -0.930 1.520
6.976 0.936 1.520
12.712 4.657 0.000
2.909 1.066 0.000
```

Properties
- crystal system = tetragonal
- space group = No. 139

***

b.
Bi2PbF8 | PBE-GGA | relaxed

Structure (POSCAR):
```
Bi2PbF8
1.0
4.404 -0.011 -0.016
-0.742 6.403 -0.029
-0.742 -2.493 5.898
Bi Pb F
2 1 8
Cartesian
-0.742 0.359 3.997
-0.742 3.551 1.871
2.202 -0.005 -0.008
2.865 4.381 3.950
2.865 1.958 5.565
0.390 2.461 3.693
1.459 4.233 1.404
1.459 -0.334 4.447
2.529 1.438 2.158
0.054 1.941 0.287
0.054 -0.482 1.902
```

Properties
- crystal system = monoclinic
- space group = No. 12

***

Energies, relative to the best one, in eV/atom: a 0.175; b 0.000.

***

a.
BiPdF2 | PBE-GGA | relaxed

Structure (POSCAR):
```
BiPdF2
1.0
4.027 0.000 0.000
0.000 4.027 0.000
2.014 2.014 8.123
Bi Pd F
2 2 4
Cartesian
0.000 0.000 0.000
4.027 2.014 4.062
2.014 2.014 0.000
2.014 4.027 4.062
3.075 1.007 2.031
0.953 3.021 2.031
3.021 2.967 6.093
5.034 5.088 6.093
```

Properties
- crystal system = tetragonal
- space group = No. 122

***

b.
BiPdF2 | PBE-GGA | relaxed

Structure (POSCAR):
```
BiPdF2
1.0
0.847 -7.330 2.249
4.063 -6.085 2.443
1.844 -5.546 5.034
Bi Pd F
1 1 2
Cartesian
0.000 0.000 0.000
3.377 -9.481 4.863
6.047 -16.976 8.708
0.707 -1.985 1.018
```

Properties
- crystal system = trigonal
- space group = No. 166

***

c.
BiPdF2 | PBE-GGA | relaxed

Structure (POSCAR):
```
BiPdF2
1.0
-0.400 6.412 5.138
1.965 4.709 6.452
2.583 6.694 4.023
Bi Pd F
1 1 2
Cartesian
2.074 8.908 7.807
0.000 0.000 0.000
3.792 16.286 14.273
0.356 1.529 1.340
```

Properties
- crystal system = trigonal
- space group = No. 166

***

Energies, relative to the best one, in eV/atom: a 0.000; b 0.305; c 0.184.

***

a.
Bi3PdF | PBE-GGA | relaxed

Structure (POSCAR):
```
Bi3PdF
1.0
-2.344 3.071 -3.174
-3.866 0.311 3.156
2.136 3.933 2.229
Bi Pd F
3 1 1
Cartesian
-1.933 0.156 1.578
1.068 1.967 1.114
-1.172 1.536 -1.587
-2.037 3.658 1.105
0.000 0.000 0.000
```

Properties
- crystal system = cubic
- space group = No. 221

***

b.
Bi3PdF | PBE-GGA | relaxed

Structure (POSCAR):
```
Bi3PdF
1.0
5.364 0.000 0.000
0.000 5.364 0.000
0.000 0.000 5.364
Bi Pd F
3 1 1
Cartesian
0.000 2.682 0.000
0.000 0.000 2.682
2.682 0.000 0.000
0.000 0.000 0.000
2.682 2.682 2.682
```

Properties
- crystal system = cubic
- space group = No. 221

***

Energies, relative to the best one, in eV/atom: a 0.000; b 0.177.

***

a.
Bi2PdSF | PBE-GGA | relaxed

Structure (POSCAR):
```
Bi2PdSF
1.0
-0.131 2.275 -4.283
-2.355 -3.620 -1.851
-4.196 2.095 1.241
S Bi Pd F
1 2 1 1
Cartesian
-1.177 -1.810 -0.925
-2.098 1.048 0.620
-0.065 1.138 -2.141
-3.341 0.375 -2.446
0.000 0.000 0.000
```

Properties
- crystal system = tetragonal
- space group = No. 123

***

b.
Bi2PdSF | PBE-GGA | relaxed

Structure (POSCAR):
```
Bi2PdSF
1.0
5.470 0.000 0.000
0.000 3.832 0.000
0.000 0.000 5.470
S Bi Pd F
1 2 1 1
Cartesian
0.000 0.000 0.000
0.000 0.000 2.735
2.735 0.000 0.000
2.735 1.916 2.735
0.000 1.916 0.000
```

Properties
- crystal system = tetragonal
- space group = No. 123

***

Energies, relative to the best one, in eV/atom: a 0.104; b 0.000.

***

a.
Pm2BiF8 | PBE-GGA | relaxed

Structure (POSCAR):
```
Pm2BiF8
1.0
5.316 0.433 0.302
1.653 6.554 1.549
1.653 3.710 5.621
Pm Bi F
2 1 8
Cartesian
4.720 3.630 2.535
3.901 7.067 4.937
0.000 0.000 0.000
1.313 2.776 3.487
1.313 4.229 1.407
7.308 7.920 3.985
3.133 5.006 3.497
7.308 6.467 6.065
3.124 2.163 1.511
5.497 8.534 5.961
5.488 5.690 3.975
```

Properties
- crystal system = monoclinic
- space group = No. 12

***

b.
Pm2BiF8 | PBE-GGA | relaxed

Structure (POSCAR):
```
Pm2BiF8
1.0
0.773 0.326 -3.651
5.570 -2.381 0.967
-6.723 -5.376 0.018
F Bi Pm
8 1 2
Cartesian
2.827 -2.556 -1.551
-0.647 -4.687 -0.555
-2.235 -2.437 -0.691
0.866 -1.152 0.081
1.854 -4.995 -1.975
0.267 -2.745 -2.110
-3.207 -4.876 -1.114
-1.247 -6.280 -2.746
0.386 0.163 -1.825
1.373 -3.547 -0.026
-1.754 -3.885 -2.640
```

Properties
- crystal system = monoclinic
- space group = No. 12

***

Energies, relative to the best one, in eV/atom: a 0.085; b 0.000.

***

a.
Bi2PtF2 | PBE-GGA | relaxed

Structure (POSCAR):
```
Bi2PtF2
1.0
7.869 0.000 0.000
0.000 7.869 0.000
0.000 0.000 3.043
Bi Pt F
4 2 4
Cartesian
2.303 6.238 0.000
6.238 5.566 0.000
5.566 1.632 0.000
1.632 2.303 0.000
0.000 0.000 0.000
3.935 3.935 0.000
0.919 4.854 1.522
4.854 6.950 1.522
6.950 3.015 1.522
3.015 0.919 1.522
```

Properties
- crystal system = tetragonal
- space group = No. 127

***

b.
Bi2PtF2 | PBE-GGA | relaxed

Structure (POSCAR):
```
Bi2PtF2
1.0
-2.220 -2.798 -0.533
0.564 -1.094 3.395
-6.238 1.937 3.581
Bi Pt F
2 1 2
Cartesian
-2.155 -0.993 1.959
-5.738 -0.961 4.484
0.000 0.000 0.000
-4.643 -1.403 2.240
-3.251 -0.551 4.203
```

Properties
- crystal system = tetragonal
- space group = No. 139

***

Energies, relative to the best one, in eV/atom: a 0.137; b 0.000.